Arrangement A

{
  "formula": "CsSrCu3",
  "functional": "GGA-PBE",
  "state": "optimized geometry",
  "cell": [[5.882, 0.000, 0.000], [0.000, 5.882, 0.000], [0.000, 0.000, 5.882]],
  "species": ["Cs", "Sr", "Cu", "Cu", "Cu"],
  "frac_coords": [[0.000, 0.000, 0.000], [0.500, 0.500, 0.500], [0.000, 0.500, 0.500], [0.500, 0.000, 0.500], [0.500, 0.500, 0.000]],
  "n_ef_per_ev_fu": 0.000
}

---

Arrangement B

{
  "formula": "CsSrCu3",
  "functional": "GGA-PBE",
  "state": "optimized geometry",
  "cell": [[5.704, 0.000, 0.000], [0.000, 5.704, 0.000], [0.000, 0.000, 5.704]],
  "species": ["Cs", "Sr", "Cu", "Cu", "Cu"],
  "frac_coords": [[0.000, 0.000, 0.000], [0.500, 0.500, 0.500], [0.000, 0.000, 0.500], [0.000, 0.500, 0.000], [0.500, 0.000, 0.000]],
  "n_ef_per_ev_fu": 0.668
}

---

Most stable structure: arrangement A

---

Arrangement A

{
  "formula": "CsSr2Cu",
  "functional": "GGA-PBE",
  "state": "optimized geometry",
  "cell": [[0.000, 4.310, 4.310], [4.310, 0.000, 4.310], [4.310, 4.310, 0.000]],
  "species": ["Cs", "Sr", "Sr", "Cu"],
  "frac_coords": [[0.000, 0.000, 0.000], [0.250, 0.250, 0.250], [0.750, 0.750, 0.750], [0.500, 0.500, 0.500]],
  "n_ef_per_ev_fu": 5.041
}

---

Arrangement B

{
  "formula": "CsSr2Cu",
  "functional": "GGA-PBE",
  "state": "optimized geometry",
  "cell": [[2.274, 1.313, 12.267], [-2.274, 1.313, 12.267], [0.000, -2.626, 12.267]],
  "species": ["Cs", "Sr", "Sr", "Cu"],
  "frac_coords": [[0.000, 0.000, 0.000], [0.122, 0.122, 0.122], [0.878, 0.878, 0.878], [0.500, 0.500, 0.500]],
  "n_ef_per_ev_fu": 3.516
}

---

Most stable structure: arrangement B

---

Arrangement A

{
  "formula": "CsSrCu2",
  "functional": "GGA-PBE",
  "state": "optimized geometry",
  "cell": [[-4.359, 4.359, 4.062], [4.359, -4.359, 4.062], [4.359, 4.359, -4.062]],
  "species": ["Cs", "Cs", "Sr", "Sr", "Cu", "Cu", "Cu", "Cu"],
  "frac_coords": [[0.000, 0.000, 0.000], [0.750, 0.250, 0.500], [0.250, 0.750, 0.500], [0.500, 0.500, 0.000], [0.159, 0.625, 0.034], [0.375, 0.409, 0.534], [0.591, 0.125, 0.966], [0.875, 0.841, 0.466]],
  "n_ef_per_ev_fu": 2.474
}

---

Arrangement B

{
  "formula": "CsSrCu2",
  "functional": "GGA-PBE",
  "state": "optimized geometry",
  "cell": [[0.000, 4.011, 4.011], [4.011, 0.000, 4.011], [4.011, 4.011, 0.000]],
  "species": ["Cs", "Sr", "Cu", "Cu"],
  "frac_coords": [[0.000, 0.000, 0.000], [0.500, 0.500, 0.500], [0.250, 0.250, 0.250], [0.750, 0.750, 0.750]],
  "n_ef_per_ev_fu": 2.002
}

---

Most stable structure: arrangement B

---

Arrangement A

{
  "formula": "Cs2TaCu",
  "functional": "GGA-PBE",
  "state": "optimized geometry",
  "cell": [[-6.710, 6.710, 2.539], [6.710, -6.710, 2.539], [6.710, 6.710, -2.539]],
  "species": ["Cs", "Cs", "Cs", "Cs", "Ta", "Ta", "Cu", "Cu"],
  "frac_coords": [[0.375, 0.054, 0.179], [0.804, 0.625, 0.679], [0.875, 0.196, 0.821], [0.946, 0.125, 0.321], [0.250, 0.750, 0.500], [0.500, 0.500, 0.000], [0.000, 0.000, 0.000], [0.750, 0.250, 0.500]],
  "n_ef_per_ev_fu": 6.219
}

---

Arrangement B

{
  "formula": "Cs2TaCu",
  "functional": "GGA-PBE",
  "state": "optimized geometry",
  "cell": [[0.000, 4.406, 4.406], [4.406, 0.000, 4.406], [4.406, 4.406, 0.000]],
  "species": ["Cs", "Cs", "Ta", "Cu"],
  "frac_coords": [[0.250, 0.250, 0.250], [0.750, 0.750, 0.750], [0.000, 0.000, 0.000], [0.500, 0.500, 0.500]],
  "n_ef_per_ev_fu": 8.451
}

---

Most stable structure: arrangement A

---

Arrangement A

{
  "formula": "Cs3Cu2Te4",
  "functional": "GGA-PBE",
  "state": "optimized geometry",
  "cell": [[7.050, -2.526, 0.000], [7.050, 2.526, 0.000], [-2.029, 0.000, 9.169]],
  "species": ["Cs", "Cs", "Cs", "Cu", "Cu", "Te", "Te", "Te", "Te"],
  "frac_coords": [[0.000, 0.000, 0.000], [0.407, 0.407, 0.322], [0.593, 0.593, 0.678], [0.282, 0.282, 0.645], [0.718, 0.718, 0.355], [0.146, 0.146, 0.395], [0.274, 0.274, 0.927], [0.726, 0.726, 0.073], [0.854, 0.854, 0.605]],
  "n_ef_per_ev_fu": 3.979
}

---

Arrangement B

{
  "formula": "Cs3Cu2Te4",
  "functional": "GGA-PBE",
  "state": "optimized geometry",
  "cell": [[7.847, -5.942, 0.000], [7.847, 5.942, 0.000], [-2.202, 0.000, 7.736]],
  "species": ["Cs", "Cs", "Cs", "Cs", "Cs", "Cs", "Cu", "Cu", "Cu", "Cu", "Te", "Te", "Te", "Te", "Te", "Te", "Te", "Te"],
  "frac_coords": [[0.060, 0.940, 0.750], [0.234, 0.518, 0.421], [0.482, 0.766, 0.079], [0.518, 0.234, 0.921], [0.766, 0.482, 0.579], [0.940, 0.060, 0.250], [0.091, 0.346, 0.970], [0.346, 0.091, 0.470], [0.654, 0.909, 0.530], [0.909, 0.654, 0.030], [0.149, 0.576, 0.916], [0.152, 0.266, 0.656], [0.266, 0.152, 0.156], [0.424, 0.851, 0.584], [0.576, 0.149, 0.416], [0.734, 0.848, 0.844], [0.848, 0.734, 0.344], [0.851, 0.424, 0.084]],
  "n_ef_per_ev_fu": 4.340
}

---

Most stable structure: arrangement B

---

Arrangement A

{
  "formula": "CsTiCu3",
  "functional": "GGA-PBE",
  "state": "optimized geometry",
  "cell": [[5.149, 0.000, 0.000], [0.000, 5.149, 0.000], [0.000, 0.000, 5.149]],
  "species": ["Cs", "Ti", "Cu", "Cu", "Cu"],
  "frac_coords": [[0.000, 0.000, 0.000], [0.500, 0.500, 0.500], [0.000, 0.000, 0.500], [0.000, 0.500, 0.000], [0.500, 0.000, 0.000]],
  "n_ef_per_ev_fu": 13.366
}

---

Arrangement B

{
  "formula": "CsTiCu3",
  "functional": "GGA-PBE",
  "state": "optimized geometry",
  "cell": [[5.104, 0.000, 0.000], [0.000, 5.104, 0.000], [0.000, 0.000, 5.104]],
  "species": ["Cs", "Ti", "Cu", "Cu", "Cu"],
  "frac_coords": [[0.000, 0.000, 0.000], [0.500, 0.500, 0.500], [0.000, 0.500, 0.500], [0.500, 0.000, 0.500], [0.500, 0.500, 0.000]],
  "n_ef_per_ev_fu": 4.173
}

---

Most stable structure: arrangement B